[1]
# Rb2Tl6PdPb, optimized geometry, DFT PBE
# ρ = 7910 kg/m³
# crystal system = trigonal
# E_tot = -153.36 eV per cell
# total moment = 0.00 μB per atom
data_Rb2Tl6PdPb
_chemical_formula_sum 'Rb12 Tl36 Pd6 Pb6'
_space_group_name_H-M_alt 'R -3 m'
_space_group_IT_number 166
_space_group_name_Hall '-R 3 2"'
_cell_length_a 7.7165
_cell_length_b 7.7165
_cell_length_c 41.7867
_cell_angle_alpha 90.00
_cell_angle_beta 90.00
_cell_angle_gamma 120.00
loop_
_atom_site_label
_atom_site_fract_x
_atom_site_fract_y
_atom_site_fract_z
Rb1 0.0000 0.0000 0.1014
Rb2 0.0000 0.0000 0.2759
Tl1 0.0518 0.5259 0.3074
Tl2 0.0522 0.5261 0.8611
Pd1 0.0000 0.0000 0.0000
Pd2 0.0000 0.0000 0.5000
Pb1 0.0000 0.0000 0.4256



[2]
# Tl2AgAu2Cl6, optimized geometry, DFT PBE
# ρ = 5777 kg/m³
# formation energy from raw total energies = -0.50 eV/atom
# crystal system = monoclinic
# total moment = 0.00 μB per atom
data_Tl2AgAu2Cl6
_chemical_formula_sum 'Tl4 Ag2 Au4 Cl12'
_space_group_name_H-M_alt 'C 1 2/m 1'
_space_group_IT_number 12
_space_group_name_Hall '-C 2y'
_cell_length_a 13.5083
_cell_length_b 6.9487
_cell_length_c 7.9563
_cell_angle_alpha 90.00
_cell_angle_beta 120.15
_cell_angle_gamma 90.00
loop_
_atom_site_label
_atom_site_fract_x
_atom_site_fract_y
_atom_site_fract_z
Tl1 0.2476 0.0000 0.2698
Ag1 0.0000 0.0000 0.5000
Au1 0.0650 0.5000 0.8920
Cl1 0.0657 0.2523 0.3474
Cl2 0.2501 0.0000 0.8333



[3]
# FeTe2WI, optimized geometry, DFT PBE
# ρ = 6596 kg/m³
# formation energy from raw total energies = 1.49 eV/atom
# crystal system = tetragonal
# polymorph energy (0 for the lowest one) = 24 meV per atom
# total moment = 0.07 μB per atom
data_FeTe2WI
_chemical_formula_sum 'Fe1 Te2 W1 I1'
_space_group_name_H-M_alt 'P 4/m m m'
_space_group_IT_number 123
_space_group_name_Hall '-P 4 2'
_cell_length_a 5.2090
_cell_length_b 5.2090
_cell_length_c 5.7690
_cell_angle_alpha 90.00
_cell_angle_beta 90.00
_cell_angle_gamma 90.00
loop_
_atom_site_label
_atom_site_fract_x
_atom_site_fract_y
_atom_site_fract_z
Fe1 0.0000 0.0000 0.0000
Te1 0.0000 0.5000 0.5000
W1 0.5000 0.5000 0.5000
I1 0.5000 0.5000 0.0000



[4]
# ThAlRu2, optimized geometry, DFT PBE
# ρ = 10685 kg/m³
# crystal system = tetragonal
# E_tot = -31.63 eV per cell
# total moment = 0.00 μB per atom
data_ThAlRu2
_chemical_formula_sum 'Th1 Al1 Ru2'
_space_group_name_H-M_alt 'P 4/m m m'
_space_group_IT_number 123
_space_group_name_Hall '-P 4 2'
_cell_length_a 4.4662
_cell_length_b 4.4662
_cell_length_c 3.5930
_cell_angle_alpha 90.00
_cell_angle_beta 90.00
_cell_angle_gamma 90.00
loop_
_atom_site_label
_atom_site_fract_x
_atom_site_fract_y
_atom_site_fract_z
Th1 0.0000 0.0000 0.0000
Al1 0.5000 0.5000 0.0000
Ru1 0.0000 0.5000 0.5000



[5]
# KCa2Pd2, optimized geometry, DFT PBE
# ρ = 3322 kg/m³
# crystal system = tetragonal
# E_tot = -33.14 eV per cell
# total moment = 0.00 μB per atom
data_KCa2Pd2
_chemical_formula_sum 'K2 Ca4 Pd4'
_space_group_name_H-M_alt 'I 4/m m m'
_space_group_IT_number 139
_space_group_name_Hall '-I 4 2'
_cell_length_a 5.3430
_cell_length_b 5.3430
_cell_length_c 11.6292
_cell_angle_alpha 90.00
_cell_angle_beta 90.00
_cell_angle_gamma 90.00
loop_
_atom_site_label
_atom_site_fract_x
_atom_site_fract_y
_atom_site_fract_z
K1 0.0000 0.0000 0.0000
Ca1 0.0000 0.0000 0.3282
Pd1 0.0000 0.5000 0.2500



[6]
# SrCoAg4, optimized geometry, DFT PBE
# ρ = 7680 kg/m³
# crystal system = cubic
# E_tot = -75.57 eV per cell
# total moment = 0.24 μB per atom
data_SrCoAg4
_chemical_formula_sum 'Sr4 Co4 Ag16'
_space_group_name_H-M_alt 'F -4 3 m'
_space_group_IT_number 216
_space_group_name_Hall 'F -4 2 3'
_cell_length_a 7.9366
_cell_length_b 7.9366
_cell_length_c 7.9366
_cell_angle_alpha 90.00
_cell_angle_beta 90.00
_cell_angle_gamma 90.00
loop_
_atom_site_label
_atom_site_fract_x
_atom_site_fract_y
_atom_site_fract_z
Sr1 0.0000 0.0000 0.0000
Co1 0.2500 0.2500 0.2500
Ag1 0.1241 0.1241 0.6241



> Which value of total moment does entry 4 give?

0.00 μB per atom



> Look up the ρ of the second one.

5777 kg/m³